Below is crystalline SmTm2Co9 at its relaxed geometry, with properties calculated at the GGA-PBE level.

Cell lengths 4.9588, 4.9588, 24.0362 Å; angles 90.00, 90.00, 120.00 degrees
Space group R-3m (No. 166, hexagonal axes)
Inequivalent atoms, fractional coordinates:
Sm 0.0000 0.0000 0.0000 [3 per cell]
Tm 0.0000 0.0000 0.1404 [6 per cell]
Co 0.0000 0.0000 0.3352 [6 per cell]
Co 0.0000 0.0000 0.5000 [3 per cell]
Co 0.0046 0.5023 0.9173 [18 per cell]

Summary:
formation energy from the elements	-2.2	eV/f.u.
ρ	9.9	Mg/m³
calculated volume	14.22	A^3/atom


Below is crystalline SmUCo at its relaxed geometry, with properties calculated at the GGA-PBE level.

Cell lengths 6.5461, 6.5461, 6.5461 Å; angles 90.00, 90.00, 90.00 degrees
Space group F-43m (No. 216)
Inequivalent atoms, fractional coordinates:
Sm 0.0000 0.0000 0.0000 [4 per cell]
U 0.0000 0.0000 0.5000 [4 per cell]
Co 0.2500 0.2500 0.2500 [4 per cell]

Summary:
formation energy from the elements	1.6	eV/f.u.
ρ	10.6	Mg/m³
calculated volume	23.38	A^3/atom
offset from the most stable computed form	0	meV per atom


Below is crystalline SmZnCo at its relaxed geometry, with properties calculated at the GGA-PBE level.

Cell lengths 6.4959, 6.4959, 6.4959 Å; angles 90.00, 90.00, 90.00 degrees
Space group F-43m (No. 216)
Inequivalent atoms, fractional coordinates:
Sm 0.0000 0.0000 0.0000 [4 per cell]
Zn 0.2500 0.2500 0.2500 [4 per cell]
Co 0.2500 0.2500 0.7500 [4 per cell]

Summary:
formation energy from the elements	1.9	eV/f.u.
ρ	6.7	Mg/m³
calculated volume	22.84	A^3/atom


Below is crystalline SmZnCo at its relaxed geometry, with properties calculated at the GGA-PBE level.

Cell lengths 6.2989, 6.2989, 6.2989 Å; angles 90.00, 90.00, 90.00 degrees
Space group F-43m (No. 216)
Inequivalent atoms, fractional coordinates:
Sm 0.0000 0.0000 0.0000 [4 per cell]
Zn 0.2500 0.2500 0.7500 [4 per cell]
Co 0.0000 0.0000 0.5000 [4 per cell]

Summary:
formation energy from the elements	0.8	eV/f.u.
ρ	7.3	Mg/m³
calculated volume	20.83	A^3/atom


Below is crystalline SmZrZnCo2 at its relaxed geometry, with properties calculated at the GGA-PBE level.

Cell lengths 4.0938, 5.4074, 7.8857 Å; angles 90.00, 90.00, 90.00 degrees
Space group Imm2 (No. 44)
Inequivalent atoms, fractional coordinates:
Sm 0.0000 0.0000 0.0000 [2 per cell]
Zr 0.0000 0.0000 0.5821 [2 per cell]
Zn 0.0000 0.5000 0.7980 [2 per cell]
Co 0.0000 0.2842 0.2869 [4 per cell]

Summary:
formation energy from the elements	-1.2	eV/f.u.
ρ	8.1	Mg/m³
calculated volume	17.46	A^3/atom


Below is crystalline SmZrCo at its relaxed geometry, with properties calculated at the GGA-PBE level.

Cell lengths 6.4473, 6.4473, 6.4473 Å; angles 90.00, 90.00, 90.00 degrees
Space group F-43m (No. 216)
Inequivalent atoms, fractional coordinates:
Sm 0.0000 0.0000 0.0000 [4 per cell]
Zr 0.2500 0.2500 0.7500 [4 per cell]
Co 0.0000 0.0000 0.5000 [4 per cell]

Summary:
formation energy from the elements	2.2	eV/f.u.
ρ	7.4	Mg/m³
calculated volume	22.33	A^3/atom
offset from the most stable computed form	0	meV per atom


Below is crystalline SmZrCo at its relaxed geometry, with properties calculated at the GGA-PBE level.

Cell lengths 6.4280, 6.4280, 6.4280 Å; angles 90.00, 90.00, 90.00 degrees
Space group F-43m (No. 216)
Inequivalent atoms, fractional coordinates:
Sm 0.0000 0.0000 0.0000 [4 per cell]
Zr 0.2500 0.2500 0.2500 [4 per cell]
Co 0.2500 0.2500 0.7500 [4 per cell]

Summary:
formation energy from the elements	3.0	eV/f.u.
ρ	7.5	Mg/m³
calculated volume	22.13	A^3/atom
offset from the most stable computed form	290	meV per atom


Below is crystalline Co9Sn at its relaxed geometry, with properties calculated at the GGA-PBE level.

Cell lengths 2.6643, 2.6643, 43.6918 Å; angles 90.00, 90.00, 90.00 degrees
Space group P4/nmm (No. 129, origin choice 2)
Inequivalent atoms, fractional coordinates:
Co 0.2500 0.2500 0.0179 [2 per cell]
Co 0.2500 0.2500 0.0902 [2 per cell]
Co 0.2500 0.2500 0.1620 [2 per cell]
Co 0.2500 0.2500 0.2337 [2 per cell]
Co 0.2500 0.2500 0.3053 [2 per cell]
Co 0.2500 0.2500 0.7299 [2 per cell]
Co 0.2500 0.2500 0.8019 [2 per cell]
Co 0.2500 0.2500 0.8737 [2 per cell]
Co 0.2500 0.2500 0.9457 [2 per cell]
Sn 0.2500 0.2500 0.6467 [2 per cell]

Summary:
ρ	7.0	Mg/m³
calculated volume	15.51	A^3/atom
offset from the most stable computed form	32	meV per atom


Below is crystalline Co15Sn at its relaxed geometry, with properties calculated at the GGA-PBE level.

Cell lengths 3.5063, 3.5053, 40.7517 Å; angles 90.00, 90.00, 90.00 degrees
Space group Pmma (No. 51)
Inequivalent atoms, fractional coordinates:
Co 0.2500 0.0000 0.0212 [2 per cell]
Co 0.2500 0.0000 0.1061 [2 per cell]
Co 0.2500 0.0000 0.1916 [2 per cell]
Co 0.2500 0.0000 0.2778 [2 per cell]
Co 0.2500 0.0000 0.6801 [2 per cell]
Co 0.2500 0.0000 0.7656 [2 per cell]
Co 0.2500 0.0000 0.8512 [2 per cell]
Co 0.2500 0.0000 0.9365 [2 per cell]
Co 0.2500 0.5000 0.0636 [2 per cell]
Co 0.2500 0.5000 0.1490 [2 per cell]
Co 0.2500 0.5000 0.2353 [2 per cell]
Co 0.2500 0.5000 0.7222 [2 per cell]
Co 0.2500 0.5000 0.8084 [2 per cell]
Co 0.2500 0.5000 0.8939 [2 per cell]
Co 0.2500 0.5000 0.9788 [2 per cell]
Sn 0.2500 0.5000 0.3362 [2 per cell]

Summary:
ρ	6.6	Mg/m³
calculated volume	15.65	A^3/atom
offset from the most stable computed form	0	meV per atom


Below is crystalline Co124Sn at its relaxed geometry, with properties calculated at the GGA-PBE level.

Cell lengths 17.5248, 17.5248, 17.5248 Å; angles 90.00, 90.00, 90.00 degrees
Space group Fm-3m (No. 225)
Inequivalent atoms, fractional coordinates:
Co 0.0000 0.0000 0.1001 [24 per cell]
Co 0.0000 0.0000 0.3005 [24 per cell]
Co 0.0000 0.0999 0.2000 [96 per cell]
Co 0.0000 0.1044 0.3956 [48 per cell]
Co 0.0000 0.2002 0.2998 [48 per cell]
Co 0.1000 0.1000 0.1000 [32 per cell]
Co 0.1005 0.1005 0.2993 [96 per cell]
Co 0.1001 0.1999 0.1999 [96 per cell]
Co 0.2002 0.2002 0.2998 [32 per cell]
Sn 0.0000 0.0000 0.5000 [4 per cell]

Summary:
ρ	9.2	Mg/m³
calculated volume	10.76	A^3/atom
DFT total energy	-7.06	eV per atom


Below is crystalline CoSn2 at its relaxed geometry, with properties calculated at the GGA-PBE level.

Cell lengths 8.3974, 8.3974, 8.3974 Å; angles 90.00, 90.00, 90.00 degrees
Space group Fd-3m (No. 227, origin choice 2)
Inequivalent atoms, fractional coordinates:
Co 0.1250 0.1250 0.1250 [8 per cell]
Sn 0.0000 0.0000 0.5000 [16 per cell]

Summary:
ρ	6.6	Mg/m³
calculated volume	24.67	A^3/atom
DFT total energy	-3.97	eV per atom


Below is crystalline Co15Sn at its relaxed geometry, with properties calculated at the GGA-PBE level.

Cell lengths 4.9710, 2.5580, 40.1796 Å; angles 90.00, 90.00, 90.00 degrees
Space group P2_1/m (No. 11)
Inequivalent atoms, fractional coordinates:
Co 0.1208 0.2500 0.2760 [2 per cell]
Co 0.1249 0.2500 0.0211 [2 per cell]
Co 0.1245 0.2500 0.1059 [2 per cell]
Co 0.1250 0.2500 0.7673 [2 per cell]
Co 0.1250 0.2500 0.8514 [2 per cell]
Co 0.1251 0.2500 0.9366 [2 per cell]
Co 0.1255 0.2500 0.1909 [2 per cell]
Co 0.3708 0.7500 0.7240 [2 per cell]
Co 0.3751 0.7500 0.0635 [2 per cell]
Co 0.3750 0.7500 0.1482 [2 per cell]
Co 0.3750 0.7500 0.2344 [2 per cell]
Co 0.3750 0.7500 0.3156 [2 per cell]
Co 0.3746 0.7500 0.8941 [2 per cell]
Co 0.3749 0.7500 0.9789 [2 per cell]
Co 0.3755 0.7500 0.8091 [2 per cell]
Sn 0.1250 0.2500 0.6653 [2 per cell]

Summary:
ρ	6.5	Mg/m³
calculated volume	15.97	A^3/atom
offset from the most stable computed form	52	meV per atom